Compound: NbAlTe
Source: Alexandria via LeMat-Bulk
Functional: GGA-PBE
Structure: optimized geometry

Summary:
**Formation energy without anion corrections**: -0.333 eV per formula unit
**Polymorph energy (0 for the lowest one)**: 97 meV per atom
**N(E_F)**: 2.3 states/eV per cell
**Raw total energy**: -5.762 eV per atom
**Spin magnetization**: 0.0001 μB/atom
**Density**: 6171 kg/m3

a b c (Å): 3.3253 3.3253 6.0221
angles (deg): 90.00 90.00 90.00
With the nearest neighbours (Å) after each atom.
Sites, in units of the cell vectors:
Nb: 0.0000 0.0000 0.0000  4 Te 2.85, 4 Al 2.87
Al: 0.5000 0.5000 0.7278  1 Te 2.78, 4 Nb 2.87
Te: 0.5000 0.5000 0.2666  1 Al 2.78, 4 Nb 2.85